! Zn2TcRu (PBE, optimized geometry); values from VASP
&SYSTEM
  ibrav = 0, nat = 4, ntyp = 3
/
ATOMIC_SPECIES
Ru 101.07 Ru.upf
Tc 98.00 Tc.upf
Zn 65.41 Zn.upf
CELL_PARAMETERS angstrom
4.8223 -0.0425 0.0000
-1.8688 4.4456 0.0000
0.0000 0.0000 2.6781
ATOMIC_POSITIONS angstrom
Ru 2.4111 -0.0213 1.3390
Tc -0.9344 2.2228 1.3390
Zn 0.0000 0.0000 0.0000
Zn 1.4767 2.2016 0.0000
! - Calculated total energy: -0.39164 Ry per atom
! - ΔH_f (0 K): 0.22 eV/atom
! - Density of states at the Fermi level: 4.8 states/eV/cell
! - Theoretical density: 9.58 g/cm³
! - Size of the total moment: 1.28 μB per formula unit
! - Symmetry: No. 65

=====

! ZnTcRu2 (PBE, optimized geometry); values from VASP
&SYSTEM
  ibrav = 0, nat = 4, ntyp = 3
/
ATOMIC_SPECIES
Ru 101.07 Ru.upf
Tc 98.00 Tc.upf
Zn 65.41 Zn.upf
CELL_PARAMETERS angstrom
-3.4503 -0.0103 -2.6083
-1.3214 -3.6927 -1.8237
-3.6860 -1.8546 1.2969
ATOMIC_POSITIONS angstrom
Ru 0.0000 0.0000 0.0000
Ru -2.1144 -1.3894 -0.7838
Tc -4.2288 -2.7788 -1.5675
Zn -6.3433 -4.1682 -2.3513
! - Calculated total energy: -0.53177 Ry per atom
! - ΔH_f (0 K): 0.31 eV/atom
! - Density of states at the Fermi level: 6.5 states/eV/cell
! - Theoretical density: 10.61 g/cm³
! - Size of the total moment: 1.37 μB per formula unit
! - Symmetry: No. 216

=====

! ZnTcRu2 (PBE, optimized geometry); values from VASP
&SYSTEM
  ibrav = 0, nat = 4, ntyp = 3
/
ATOMIC_SPECIES
Ru 101.07 Ru.upf
Tc 98.00 Tc.upf
Zn 65.41 Zn.upf
CELL_PARAMETERS angstrom
-0.3824 3.6601 -2.3944
-4.3686 -0.2025 0.3881
0.1431 1.6223 2.4570
ATOMIC_POSITIONS angstrom
Ru 0.0000 0.0000 0.0000
Ru -2.3755 1.7288 -1.0032
Tc -0.1197 2.6412 0.0313
Zn -2.1128 0.7099 1.4226
! - Calculated total energy: -0.53899 Ry per atom
! - ΔH_f (0 K): 0.21 eV/atom
! - Density of states at the Fermi level: 4.5 states/eV/cell
! - Theoretical density: 10.68 g/cm³
! - Size of the total moment: 0.00 μB per formula unit
! - Symmetry: No. 123

=====

! ZnTcRu2 (PBE, optimized geometry); values from VASP
&SYSTEM
  ibrav = 0, nat = 4, ntyp = 3
/
ATOMIC_SPECIES
Ru 101.07 Ru.upf
Tc 98.00 Tc.upf
Zn 65.41 Zn.upf
CELL_PARAMETERS angstrom
-2.6399 -0.6203 -0.2180
0.2740 -0.2179 -2.6979
1.6804 -7.4221 0.7701
ATOMIC_POSITIONS angstrom
Ru 0.0068 -0.0299 0.0031
Ru -0.7703 -2.2416 -1.2689
Tc 0.8325 -3.6768 0.3815
Zn 0.0858 -6.0230 -0.8765
! - Calculated total energy: -0.54670 Ry per atom
! - ΔH_f (0 K): 0.11 eV/atom
! - Density of states at the Fermi level: 5.8 states/eV/cell
! - Theoretical density: 10.72 g/cm³
! - Size of the total moment: 0.00 μB per formula unit
! - Symmetry: No. 99

=====

! ZnTcRu2 (PBE, optimized geometry); values from VASP
&SYSTEM
  ibrav = 0, nat = 4, ntyp = 3
/
ATOMIC_SPECIES
Ru 101.07 Ru.upf
Tc 98.00 Tc.upf
Zn 65.41 Zn.upf
CELL_PARAMETERS angstrom
-2.1217 -3.1419 -2.7518
-0.0535 -4.1492 2.1740
-1.3039 4.2693 1.4206
ATOMIC_POSITIONS angstrom
Ru 0.0000 0.0000 0.0000
Ru -1.0876 -3.6455 -0.2889
Tc -1.2225 -1.7627 1.6529
Zn -2.2566 -1.2591 -0.8101
! - Calculated total energy: -0.54428 Ry per atom
! - ΔH_f (0 K): 0.14 eV/atom
! - Density of states at the Fermi level: 5.3 states/eV/cell
! - Theoretical density: 10.77 g/cm³
! - Size of the total moment: 0.20 μB per formula unit
! - Symmetry: No. 139

=====

! Zn2TcRu (PBE, optimized geometry); values from VASP
&SYSTEM
  ibrav = 0, nat = 4, ntyp = 3
/
ATOMIC_SPECIES
Ru 101.07 Ru.upf
Tc 98.00 Tc.upf
Zn 65.41 Zn.upf
CELL_PARAMETERS angstrom
-4.6683 -2.1721 -0.4266
-0.6817 -3.5186 -3.7213
2.5181 1.3720 4.2977
ATOMIC_POSITIONS angstrom
Ru -2.4126 -1.8227 0.8985
Tc -0.4193 -2.4960 -0.7488
Zn -5.3308 -5.6704 -4.1331
Zn -2.6941 -2.8657 -2.0888
! - Calculated total energy: -0.39561 Ry per atom
! - ΔH_f (0 K): 0.16 eV/atom
! - Density of states at the Fermi level: 3.3 states/eV/cell
! - Theoretical density: 9.55 g/cm³
! - Size of the total moment: 0.00 μB per formula unit
! - Symmetry: No. 71

=====

Repeat the second record exactly.
! ZnTcRu2 (PBE, optimized geometry); values from VASP
&SYSTEM
  ibrav = 0, nat = 4, ntyp = 3
/
ATOMIC_SPECIES
Ru 101.07 Ru.upf
Tc 98.00 Tc.upf
Zn 65.41 Zn.upf
CELL_PARAMETERS angstrom
-3.4503 -0.0103 -2.6083
-1.3214 -3.6927 -1.8237
-3.6860 -1.8546 1.2969
ATOMIC_POSITIONS angstrom
Ru 0.0000 0.0000 0.0000
Ru -2.1144 -1.3894 -0.7838
Tc -4.2288 -2.7788 -1.5675
Zn -6.3433 -4.1682 -2.3513
! - Calculated total energy: -0.53177 Ry per atom
! - ΔH_f (0 K): 0.31 eV/atom
! - Density of states at the Fermi level: 6.5 states/eV/cell
! - Theoretical density: 10.61 g/cm³
! - Size of the total moment: 1.37 μB per formula unit
! - Symmetry: No. 216